Below is a PBEsol-optimized structure of TlMo2As, with properties calculated at the meta-GGA SCAN level.

Summary:
V = 17.23 A^3/atom
Formation enthalpy at 0 K = 2.94 eV per formula unit

a b c (Å): 3.303 4.364 4.782
angles (deg): 90.00 90.00 90.00
Element x y z (fractional)
Mo (0.000, 0.000, 0.000)
Tl (0.500, 0.500, 0.000)
As (0.000, 0.500, 0.500)
Mo (0.500, 0.000, 0.500)